Computed, not measured: crystalline LaMg2In at its relaxed geometry at the PBE-GGA level of DFT.

Theoretical density ... 4.64 g/cm³
DFT formation energy ... -0.13 eV/atom
Total magnetization ... 0.000 μB per atom

Cell: 3.6135 3.6135 8.2941 Å, 90.00 90.00 90.00°
With the nearest neighbours (Å) after each atom.
Space group P4/mmm (No. 123)
One atom of each set of equivalent atoms:
1 La 0.0000 0.0000 0.0000 x1  8 Mg 3.50, 4 La 3.61
2 Mg 0.5000 0.5000 0.2883 x2  4 In 3.10
3 In 0.0000 0.0000 0.5000 x1  8 Mg 3.10

---

Computed, not measured: crystalline Th5Bi2Ir at its relaxed geometry at the PBE-GGA level of DFT.

Theoretical density ... 12.04 g/cm³
DFT formation energy ... -0.56 eV/atom
Total magnetization ... 0.000 μB per atom

Cell: 12.7280 9.2316 8.3133 Å, 90.00 90.00 90.00°
With the nearest neighbours (Å) after each atom.
Space group Pnma (No. 62)
One atom of each set of equivalent atoms:
1 Th 0.0027 0.2500 0.0314 x4  4 Bi 3.31, 1 Ir 3.33, 5 Th 3.48-3.70
2 Th 0.0603 0.0391 0.6954 x8  2 Ir 2.92-3.10
3 Th 0.1989 0.7500 0.3849 x4  1 Ir 2.79
4 Th 0.2005 0.2500 0.3578 x4  1 Ir 2.82
5 Bi 0.1767 0.5118 0.0848 x8  9 Th 3.29-3.59
6 Ir 0.0162 0.7500 0.5696 x4  6 Th 2.79-3.10

---

Computed, not measured: crystalline KSr2Rh at its relaxed geometry at the PBE-GGA level of DFT.

Theoretical density ... 2.73 g/cm³
DFT formation energy ... -0.04 eV/atom
Total magnetization ... 0.000 μB per atom

Cell: 4.3840 4.3840 34.8430 Å, 90.00 90.00 120.00°
With the nearest neighbours (Å) after each atom.
Space group R-3m (No. 166, hexagonal axes)
One atom of each set of equivalent atoms:
1 K 0.0000 0.0000 0.0000 x3  2 Sr 4.27, 6 K 4.38
2 Sr 0.0000 0.0000 0.1225 x6  3 Rh 2.96
3 Rh 0.0000 0.0000 0.5000 x3  6 Sr 2.96

---

Computed, not measured: crystalline Sm3BiH3 at its relaxed geometry at the PBE-GGA level of DFT.

Theoretical density ... 8.28 g/cm³
Total magnetization ... 0.000 μB per atom
Total energy ... -0.16881 Ha/atom

Cell: 6.4322 6.4322 6.4322 Å, 90.00 90.00 90.00°
With the nearest neighbours (Å) after each atom.
Space group Pm-3n (No. 223)
One atom of each set of equivalent atoms:
1 Sm 0.0000 0.2500 0.5000 x6  4 H 2.27
2 Bi 0.0000 0.0000 0.0000 x2  12 H 3.60, 12 Sm 3.60
3 H 0.0000 0.5000 0.2500 x6  4 Sm 2.27

---

Computed, not measured: crystalline VCd2TeW at its relaxed geometry at the PBE-GGA level of DFT.

Theoretical density ... 6.75 g/cm³
Formation energy from raw total energies ... 2.06 eV per atom
Total magnetization ... 0.203 μB per atom

Cell: 5.3790 5.3790 4.9962 Å, 90.00 90.00 90.00°
With the nearest neighbours (Å) after each atom.
Space group P4/mmm (No. 123)
One atom of each set of equivalent atoms:
1 V 0.0000 0.0000 0.0000 x1  8 Cd 3.67, 4 W 3.80
2 Cd 0.0000 0.5000 0.5000 x2  2 Te 2.69
3 Te 0.5000 0.5000 0.5000 x1  2 W 2.50, 4 Cd 2.69
4 W 0.5000 0.5000 0.0000 x1  2 Te 2.50

---

Computed, not measured: crystalline LiMg2Ru at its relaxed geometry at the PBE-GGA level of DFT.

Theoretical density ... 3.71 g/cm³
DFT formation energy ... 0.18 eV/atom
Total magnetization ... 0.196 μB per atom

Cell: 3.1969 4.6450 9.4299 Å, 90.00 90.00 90.00°
With the nearest neighbours (Å) after each atom.
Space group Cmm2 (No. 35)
One atom of each set of equivalent atoms:
1 Li 0.0000 0.0000 0.0000 x2  2 Ru 2.61, 4 Li 2.82
2 Mg 0.0000 0.0000 0.4413 x2  2 Ru 2.64, 4 Mg 2.82
3 Mg 0.0000 0.5000 0.7278 x2  6 Mg 2.82-3.14, 2 Li 3.02
4 Ru 0.0000 0.5000 0.2183 x2  2 Li 2.61, 2 Mg 2.64, 4 Ru 2.82

---

Repeat the fourth record exactly.
Computed, not measured: crystalline Sm3BiH3 at its relaxed geometry at the PBE-GGA level of DFT.

Theoretical density ... 8.28 g/cm³
Total magnetization ... 0.000 μB per atom
Total energy ... -0.16881 Ha/atom

Cell: 6.4322 6.4322 6.4322 Å, 90.00 90.00 90.00°
With the nearest neighbours (Å) after each atom.
Space group Pm-3n (No. 223)
One atom of each set of equivalent atoms:
1 Sm 0.0000 0.2500 0.5000 x6  4 H 2.27
2 Bi 0.0000 0.0000 0.0000 x2  12 H 3.60, 12 Sm 3.60
3 H 0.0000 0.5000 0.2500 x6  4 Sm 2.27

---

Question: Which of these has the lowest theoretical density?
Answer: KSr2Rh